a | NbRe2TcMo: optimized geometry, GGA-PBE.

Cell lengths 4.689, 4.689, 4.645 Å; angles 90.00, 90.00, 90.00 degrees
Space group P4/mmm (No. 123)
Asymmetric unit:
Nb 0.000 0.000 0.000 [1 per cell]
Re 0.000 0.500 0.000 [2 per cell]
Tc 0.500 0.500 0.500 [1 per cell]
Mo 0.000 0.000 0.500 [1 per cell]

## Properties
Its density of states at the Fermi level is 4.37 states/eV per cell.

=====

b | NbRe2TcMo: optimized geometry, GGA-PBE.

Cell lengths 4.664, 4.664, 4.554 Å; angles 90.00, 90.00, 90.00 degrees
Space group P4/mmm (No. 123)
Asymmetric unit:
Nb 0.000 0.000 0.000 [1 per cell]
Re 0.000 0.500 0.500 [2 per cell]
Tc 0.500 0.500 0.000 [1 per cell]
Mo 0.500 0.500 0.500 [1 per cell]

## Properties
Its density of states at the Fermi level is 4.32 states/eV per cell.

=====

List of relative energies, unit eV/atom: a 0.544; b 0.000